# 1
Entry from Alexandria via LeMat-Bulk: a geometry-optimized TbIn2IO8 structure (GGA-PBE).

Values from the calculation:
The crystal system is monoclinic. Its space group is No. 10. The total DFT energy (no corrections) is -5.72 eV per atom.

Cell lengths 4.930, 6.737, 4.933 Å; angles 90.00, 90.64, 90.00 degrees
Element x y z (fractional)
Tb: 0.000 0.000 0.000
In: 0.500 0.249 0.500
In: 0.500 0.751 0.500
I: 0.000 0.500 0.000
O: 0.183 0.291 0.818
O: 0.183 0.709 0.818
O: 0.281 0.500 0.283
O: 0.312 0.000 0.313
O: 0.688 0.000 0.687
O: 0.719 0.500 0.717
O: 0.817 0.291 0.182
O: 0.817 0.709 0.182

***

# 2
Entry from Alexandria via LeMat-Bulk: a geometry-optimized InTcI2O structure (GGA-PBE).

Values from the calculation:
The crystal system is tetragonal. The energy above the most stable polymorph in this dataset is 773 meV per atom. Its space group is No. 123. The total DFT energy (no corrections) is -3.82 eV per atom.

Cell lengths 6.001, 6.001, 3.935 Å; angles 90.00, 90.00, 90.00 degrees
Element x y z (fractional)
In: 0.000 0.000 0.000
Tc: 0.500 0.500 0.500
I: 0.000 0.500 0.000
I: 0.500 0.000 0.000
O: 0.000 0.000 0.500

***

# 3
Entry from Alexandria via LeMat-Bulk: a geometry-optimized InTcI2O structure (GGA-PBE).

Values from the calculation:
The crystal system is tetragonal. The energy above the most stable polymorph in this dataset is 0 meV per atom. Its space group is No. 123. The total DFT energy (no corrections) is -4.60 eV per atom.

Cell lengths 5.776, 5.776, 3.802 Å; angles 90.00, 90.00, 90.00 degrees
Element x y z (fractional)
In: 0.000 0.000 0.000
Tc: 0.500 0.500 0.500
I: 0.000 0.500 0.500
I: 0.500 0.000 0.500
O: 0.500 0.500 0.000

***

# 4
Entry from Alexandria via LeMat-Bulk: a geometry-optimized InTeI2O structure (GGA-PBE).

Values from the calculation:
The crystal system is tetragonal. The energy above the most stable polymorph in this dataset is 1156 meV per atom. Its space group is No. 123. The total DFT energy (no corrections) is -1.96 eV per atom.

Cell lengths 5.771, 5.771, 5.814 Å; angles 90.00, 90.00, 90.00 degrees
Element x y z (fractional)
In: 0.000 0.000 0.000
Te: 0.000 0.000 0.500
I: 0.000 0.500 0.000
I: 0.500 0.000 0.000
O: 0.500 0.500 0.500

***

# 5
Entry from Alexandria via LeMat-Bulk: a geometry-optimized InTe2IO structure (GGA-PBE).

Values from the calculation:
The crystal system is tetragonal. The energy above the most stable polymorph in this dataset is 0 meV per atom. Its space group is No. 123. The total DFT energy (no corrections) is -3.16 eV per atom.

Cell lengths 4.559, 4.559, 7.277 Å; angles 90.00, 90.00, 90.00 degrees
Element x y z (fractional)
In: 0.000 0.000 0.000
Te: 0.000 0.500 0.500
Te: 0.500 0.000 0.500
I: 0.500 0.500 0.000
O: 0.500 0.500 0.500

***

# 6
Entry from Alexandria via LeMat-Bulk: a geometry-optimized InTeI2O structure (GGA-PBE).

Values from the calculation:
The crystal system is tetragonal. The energy above the most stable polymorph in this dataset is 0 meV per atom. Its space group is No. 123. The total DFT energy (no corrections) is -3.12 eV per atom.

Cell lengths 6.329, 6.329, 4.120 Å; angles 90.00, 90.00, 90.00 degrees
Element x y z (fractional)
In: 0.000 0.000 0.000
Te: 0.500 0.500 0.500
I: 0.000 0.500 0.500
I: 0.500 0.000 0.500
O: 0.500 0.500 0.000

***

# 7
Entry from Alexandria via LeMat-Bulk: a geometry-optimized InTeI2O structure (GGA-PBE).

Values from the calculation:
The crystal system is tetragonal. The energy above the most stable polymorph in this dataset is 215 meV per atom. Its space group is No. 123. The total DFT energy (no corrections) is -2.90 eV per atom.

Cell lengths 6.278, 6.278, 3.970 Å; angles 90.00, 90.00, 90.00 degrees
Element x y z (fractional)
In: 0.000 0.000 0.000
Te: 0.500 0.500 0.500
I: 0.000 0.500 0.000
I: 0.500 0.000 0.000
O: 0.000 0.000 0.500

***

# 8
Entry from Alexandria via LeMat-Bulk: a geometry-optimized InTeI2O structure (GGA-PBE).

Values from the calculation:
The crystal system is tetragonal. The energy above the most stable polymorph in this dataset is 433 meV per atom. Its space group is No. 123. The total DFT energy (no corrections) is -2.69 eV per atom.

Cell lengths 5.491, 5.491, 4.668 Å; angles 90.00, 90.00, 90.00 degrees
Element x y z (fractional)
In: 0.000 0.000 0.000
Te: 0.500 0.500 0.000
I: 0.000 0.500 0.500
I: 0.500 0.000 0.500
O: 0.500 0.500 0.500

***

# 9
Entry from Alexandria via LeMat-Bulk: a geometry-optimized InTe2IO structure (GGA-PBE).

Values from the calculation:
The crystal system is tetragonal. The energy above the most stable polymorph in this dataset is 850 meV per atom. Its space group is No. 123. The total DFT energy (no corrections) is -2.31 eV per atom.

Cell lengths 5.771, 5.771, 6.034 Å; angles 90.00, 90.00, 90.00 degrees
Element x y z (fractional)
In: 0.000 0.000 0.000
Te: 0.000 0.500 0.000
Te: 0.500 0.000 0.000
I: 0.000 0.000 0.500
O: 0.500 0.500 0.500

***

# 10
Entry from Alexandria via LeMat-Bulk: a geometry-optimized TiInIO2 structure (GGA-PBE).

Values from the calculation:
The crystal system is tetragonal. The energy above the most stable polymorph in this dataset is 975 meV per atom. Its space group is No. 123. The total DFT energy (no corrections) is -4.61 eV per atom.

Cell lengths 4.167, 4.167, 6.006 Å; angles 90.00, 90.00, 90.00 degrees
Element x y z (fractional)
Ti: 0.000 0.000 0.000
In: 0.500 0.500 0.500
I: 0.500 0.500 0.000
O: 0.000 0.500 0.500
O: 0.500 0.000 0.500

***

# 11
Entry from Alexandria via LeMat-Bulk: a geometry-optimized TiInIO2 structure (GGA-PBE).

Values from the calculation:
The crystal system is tetragonal. The energy above the most stable polymorph in this dataset is 0 meV per atom. Its space group is No. 123. The total DFT energy (no corrections) is -5.59 eV per atom.

Cell lengths 4.100, 4.100, 5.678 Å; angles 90.00, 90.00, 90.00 degrees
Element x y z (fractional)
Ti: 0.000 0.000 0.000
In: 0.500 0.500 0.500
I: 0.000 0.000 0.500
O: 0.000 0.500 0.000
O: 0.500 0.000 0.000

***

# 12
Entry from Alexandria via LeMat-Bulk: a geometry-optimized TiInI2O structure (GGA-PBE).

Values from the calculation:
The crystal system is tetragonal. The energy above the most stable polymorph in this dataset is 0 meV per atom. Its space group is No. 123. The total DFT energy (no corrections) is -4.84 eV per atom.

Cell lengths 5.956, 5.956, 3.808 Å; angles 90.00, 90.00, 90.00 degrees
Element x y z (fractional)
Ti: 0.000 0.000 0.000
In: 0.500 0.500 0.500
I: 0.000 0.500 0.000
I: 0.500 0.000 0.000
O: 0.000 0.000 0.500